No. 1
SrNi2SnTe: relaxed, PBE-GGA.

Its total energy is -0.1461 Ha/atom. As for the raw formation energy: 0.101 eV per atom. The value obtained for the calculated volume is 28.146 Å³ per atom. Its crystal system is tetragonal.

The structure belongs to space group P4/mmm (No. 123); the cell edges are 4.786, 4.786 and 6.145 Å and the angles 90.00°, 90.00° and 90.00°. The distinct sites, in fractional coordinates, are Sr at (0.000, 0.000, 0.000), Ni at (0.000, 0.500, 0.500), Sn at (0.500, 0.500, 0.500) and Te at (0.500, 0.500, 0.000).

=====

No. 2
SrTl2NiSn: relaxed, PBE-GGA.

The formation energy from the elements is -138 meV/atom. Its total energy is -0.1241 Ha/atom. The value obtained for the calculated volume is 27.555 Å³ per atom. Its crystal system is tetragonal.

The structure belongs to space group P4/mmm (No. 123); the cell edges are 5.165, 5.165 and 5.165 Å and the angles 90.00°, 90.00° and 90.00°. The distinct sites, in fractional coordinates, are Sr at (0.000, 0.000, 0.000), Tl at (0.000, 0.500, 0.500), Ni at (0.500, 0.500, 0.500) and Sn at (0.500, 0.500, 0.000).

=====

No. 3
SrV2NiSn: relaxed, PBE-GGA.

The formation energy from the elements is 1324 meV/atom. Its total energy is -0.1697 Ha/atom. The value obtained for the calculated volume is 31.873 Å³ per atom. Its crystal system is tetragonal.

The structure belongs to space group P4/mmm (No. 123); the cell edges are 5.119, 5.119 and 6.080 Å and the angles 90.00°, 90.00° and 90.00°. The distinct sites, in fractional coordinates, are Sr at (0.000, 0.000, 0.000), V at (0.000, 0.500, 0.500), Ni at (0.500, 0.500, 0.000) and Sn at (0.000, 0.000, 0.500).